# CrF3

An optimized crystal structure of CrF3 (GGA+U, Alexandria via LeMat-Bulk).

Lattice parameters (Å, degrees): 4.417 4.417 6.765 70.95 70.95 90.00
Site moments in Bohr magnetons follow the coordinates.
Fractional coordinates of all 8 atoms:
1 Cr 0.000 0.000 0.000  3.22
2 Cr 0.750 0.250 0.500  3.22
3 F 0.500 0.500 0.000  -0.21
4 F 0.250 0.750 0.500  -0.21
5 F 0.774 0.125 0.250  -0.05
6 F 0.976 0.625 0.250  -0.05
7 F 0.375 0.226 0.750  -0.06
8 F 0.875 0.024 0.750  -0.05

Results
Symmetry: I-42d (122)
Volume in Å³ per atom: 14.6
Size of the total moment in μB per atom: 0.750
Final energy in eV/cell: -39.95
DOS(E_F) in states/eV per atom: 2.253